KBaAg3 | PBE | relaxed

Results
E above lowest polymorph: 0.0 meV per atom
Energy of formation from the pure elements: 0.376 eV per atom

Unit cell a=6.360 b=6.360 c=6.360 alpha=90.00 beta=90.00 gamma=90.00
Atoms (fractional coordinates):
Ag (0.500, 0.000, 0.000)
Ag (0.000, 0.000, 0.500)
Ag (0.000, 0.500, 0.000)
Ba (0.000, 0.000, 0.000)
K (0.500, 0.500, 0.500)